1.
# Sm2GdPt | Alexandria via LeMat-Bulk | PBE | relaxed
# - V (Å³/atom) = 31.4
# - relative energy among the computed polymorphs (eV per atom) = 0.068
# - energy of formation from the pure elements (eV/atom) = -0.4537
# - E (eV for the cell shown) = -94.12
data_Sm2GdPt
_cell_length_a 3.8943
_cell_length_b 3.8943
_cell_length_c 28.6645
_cell_angle_alpha 90.00
_cell_angle_beta 90.00
_cell_angle_gamma 120.00
_symmetry_space_group_name_H-M 'R -3 m'
_symmetry_Int_Tables_number 166
_symmetry_space_group_name_Hall '-R 3 2"'
loop_
_atom_site_label
_atom_site_type_symbol
_atom_site_fract_x
_atom_site_fract_y
_atom_site_fract_z
_atom_site_occupancy
Sm1 Sm 0.0000 0.0000 0.2286 1
Gd1 Gd 0.0000 0.0000 0.0000 1
Pt1 Pt 0.0000 0.0000 0.5000 1


2.
# WCl | Alexandria via LeMat-Bulk | PBE | relaxed
# - V (Å³/atom) = 24.9
# - relative energy among the computed polymorphs (eV per atom) = 0.887
# - E (eV for the cell shown) = -54.05
data_WCl
_cell_length_a 10.765
_cell_length_b 2.995
_cell_length_c 6.598
_cell_angle_alpha 90.00
_cell_angle_beta 110.62
_cell_angle_gamma 90.00
_symmetry_space_group_name_H-M 'C 1 2/m 1'
_symmetry_Int_Tables_number 12
loop_
_symmetry_equiv_pos_as_xyz
'x,y,z'
'-x,-y,-z'
'-x,y,-z'
'x,-y,z'
'x+1/2,y+1/2,z'
'-x+1/2,-y+1/2,-z'
'-x+1/2,y+1/2,-z'
'x+1/2,-y+1/2,z'
loop_
_atom_site_label
_atom_site_type_symbol
_atom_site_fract_x
_atom_site_fract_y
_atom_site_fract_z
_atom_site_occupancy
W1 W 0.162 0.000 0.001 1
Cl1 Cl 0.077 0.500 0.258 1


3.
# YSiTe2 | Alexandria via LeMat-Bulk | PBE | relaxed
# - V (Å³/atom) = 26.2
# - E (eV for the cell shown) = -20.03
data_YSiTe2
_cell_length_a 3.982
_cell_length_b 3.863
_cell_length_c 7.026
_cell_angle_alpha 90.00
_cell_angle_beta 103.80
_cell_angle_gamma 90.00
_symmetry_space_group_name_H-M 'P 1 2/m 1'
_symmetry_Int_Tables_number 10
loop_
_symmetry_equiv_pos_as_xyz
'x,y,z'
'-x,-y,-z'
'-x,y,-z'
'x,-y,z'
loop_
_atom_site_label
_atom_site_type_symbol
_atom_site_fract_x
_atom_site_fract_y
_atom_site_fract_z
_atom_site_occupancy
Y1 Y 0.000 0.000 0.000 1
Si1 Si 0.000 0.000 0.500 1
Te1 Te 0.388 0.500 0.751 1


4.
# KCr2CdSe | Alexandria via LeMat-Bulk | PBE | relaxed
# - V (Å³/atom) = 30.7
# - E (eV for the cell shown) = -22.65
data_KCr2CdSe
_cell_length_a 4.976
_cell_length_b 4.976
_cell_length_c 6.204
_cell_angle_alpha 90.00
_cell_angle_beta 90.00
_cell_angle_gamma 90.00
_symmetry_space_group_name_H-M 'P 4/m m m'
_symmetry_Int_Tables_number 123
_symmetry_space_group_name_Hall '-P 4 2'
loop_
_atom_site_label
_atom_site_type_symbol
_atom_site_fract_x
_atom_site_fract_y
_atom_site_fract_z
_atom_site_occupancy
K1 K 0.000 0.000 0.000 1
Cr1 Cr 0.000 0.500 0.500 1
Cd1 Cd 0.500 0.500 0.000 1
Se1 Se 0.000 0.000 0.500 1


5.
# OsWBr2 | Alexandria via LeMat-Bulk | PBE | relaxed
# - V (Å³/atom) = 22.5
# - relative energy among the computed polymorphs (eV per atom) = 0.000
# - E (eV for the cell shown) = -26.69
data_OsWBr2
_cell_length_a 3.286
_cell_length_b 3.054
_cell_length_c 8.949
_cell_angle_alpha 90.00
_cell_angle_beta 90.18
_cell_angle_gamma 90.00
_symmetry_space_group_name_H-M 'P 1 m 1'
_symmetry_Int_Tables_number 6
loop_
_symmetry_equiv_pos_as_xyz
'x,y,z'
'x,-y,z'
loop_
_atom_site_label
_atom_site_type_symbol
_atom_site_fract_x
_atom_site_fract_y
_atom_site_fract_z
_atom_site_occupancy
Os1 Os 0.000 0.000 0.000 1
W1 W 0.501 0.500 0.154 1
Br1 Br 0.504 0.000 0.384 1
Br2 Br 0.999 0.500 0.760 1


6.
# Cr2TcRu | Alexandria via LeMat-Bulk | PBE | relaxed
# - V (Å³/atom) = 13.2
# - energy of formation from the pure elements (eV/atom) = 0.2085
# - E (eV for the cell shown) = -76.11
data_Cr2TcRu
_cell_length_a 2.980
_cell_length_b 4.313
_cell_length_c 8.230
_cell_angle_alpha 90.00
_cell_angle_beta 90.00
_cell_angle_gamma 90.00
_symmetry_space_group_name_H-M 'I m m m'
_symmetry_Int_Tables_number 71
_symmetry_space_group_name_Hall '-I 2 2'
loop_
_atom_site_label
_atom_site_type_symbol
_atom_site_fract_x
_atom_site_fract_y
_atom_site_fract_z
_atom_site_occupancy
Cr1 Cr 0.000 0.000 0.239 1
Tc1 Tc 0.000 0.500 0.500 1
Ru1 Ru 0.000 0.500 0.000 1


7.
# CuMoAu2 | Alexandria via LeMat-Bulk | PBE | relaxed
# - V (Å³/atom) = 16.1
# - relative energy among the computed polymorphs (eV per atom) = 0.259
# - energy of formation from the pure elements (eV/atom) = 0.3872
# - E (eV for the cell shown) = -39.87
data_CuMoAu2
_cell_length_a 2.831
_cell_length_b 4.832
_cell_length_c 9.445
_cell_angle_alpha 90.00
_cell_angle_beta 90.00
_cell_angle_gamma 90.00
_symmetry_space_group_name_H-M 'I m m m'
_symmetry_Int_Tables_number 71
_symmetry_space_group_name_Hall '-I 2 2'
loop_
_atom_site_label
_atom_site_type_symbol
_atom_site_fract_x
_atom_site_fract_y
_atom_site_fract_z
_atom_site_occupancy
Cu1 Cu 0.000 0.000 0.000 1
Mo1 Mo 0.000 0.000 0.500 1
Au1 Au 0.000 0.500 0.265 1


8.
# TbSmSn2 | Alexandria via LeMat-Bulk | PBE | relaxed
# - V (Å³/atom) = 27.1
# - energy of formation from the pure elements (eV/atom) = -0.6442
# - E (eV for the cell shown) = -19.93
data_TbSmSn2
_cell_length_a 4.909
_cell_length_b 4.909
_cell_length_c 4.497
_cell_angle_alpha 90.00
_cell_angle_beta 90.00
_cell_angle_gamma 90.00
_symmetry_space_group_name_H-M 'P 4/m m m'
_symmetry_Int_Tables_number 123
_symmetry_space_group_name_Hall '-P 4 2'
loop_
_atom_site_label
_atom_site_type_symbol
_atom_site_fract_x
_atom_site_fract_y
_atom_site_fract_z
_atom_site_occupancy
Tb1 Tb 0.000 0.000 0.000 1
Sm1 Sm 0.500 0.500 0.000 1
Sn1 Sn 0.000 0.500 0.500 1


9.
# Tm11Zn9Ag4 | Alexandria via LeMat-Bulk | PBE | relaxed
# - V (Å³/atom) = 22.0
# - energy of formation from the pure elements (eV/atom) = -0.3082
# - E (eV for the cell shown) = -158.91
data_Tm11Zn9Ag4
_cell_length_a 14.176
_cell_length_b 20.889
_cell_length_c 3.568
_cell_angle_alpha 90.00
_cell_angle_beta 90.00
_cell_angle_gamma 90.00
_symmetry_space_group_name_H-M 'C m m m'
_symmetry_Int_Tables_number 65
_symmetry_space_group_name_Hall '-C 2 2'
loop_
_atom_site_label
_atom_site_type_symbol
_atom_site_fract_x
_atom_site_fract_y
_atom_site_fract_z
_atom_site_occupancy
Tm1 Tm 0.000 0.000 0.000 1
Tm2 Tm 0.000 0.172 0.000 1
Tm3 Tm 0.000 0.345 0.000 1
Tm4 Tm 0.241 0.171 0.000 1
Tm5 Tm 0.246 0.000 0.000 1
Zn1 Zn 0.000 0.500 0.500 1
Zn2 Zn 0.118 0.257 0.500 1
Zn3 Zn 0.121 0.084 0.500 1
Ag1 Ag 0.141 0.412 0.500 1


10.
# Eu2I2O | Alexandria via LeMat-Bulk | PBE | relaxed
# - V (Å³/atom) = 31.3
# - E (eV for the cell shown) = -156.40
data_Eu2I2O
_cell_length_a 7.708
_cell_length_b 12.725
_cell_length_c 6.391
_cell_angle_alpha 90.00
_cell_angle_beta 90.00
_cell_angle_gamma 90.00
_symmetry_space_group_name_H-M 'I b a m'
_symmetry_Int_Tables_number 72
_symmetry_space_group_name_Hall '-I 2 2c'
loop_
_atom_site_label
_atom_site_type_symbol
_atom_site_fract_x
_atom_site_fract_y
_atom_site_fract_z
_atom_site_occupancy
Eu1 Eu 0.173 0.089 0.000 1
I1 I 0.146 0.352 0.000 1
O1 O 0.000 0.000 0.250 1


11.
# PmY4In3 | Alexandria via LeMat-Bulk | PBE | relaxed
# - V (Å³/atom) = 28.6
# - energy of formation from the pure elements (eV/atom) = -0.3468
# - E (eV for the cell shown) = -124.79
data_PmY4In3
_cell_length_a 5.3872
_cell_length_b 5.3872
_cell_length_c 27.3013
_cell_angle_alpha 90.00
_cell_angle_beta 90.00
_cell_angle_gamma 120.00
_symmetry_space_group_name_H-M 'R -3 m'
_symmetry_Int_Tables_number 166
_symmetry_space_group_name_Hall '-R 3 2"'
loop_
_atom_site_label
_atom_site_type_symbol
_atom_site_fract_x
_atom_site_fract_y
_atom_site_fract_z
_atom_site_occupancy
Pm1 Pm 0.0000 0.0000 0.0000 1
Y1 Y 0.0000 0.0000 0.1299 1
Y2 Y 0.0000 0.0000 0.3863 1
In1 In 0.0000 0.0000 0.2621 1
In2 In 0.0000 0.0000 0.5000 1


12.
# Y6Se3SN2 | Alexandria via LeMat-Bulk | PBE | relaxed
# - V (Å³/atom) = 20.4
# - E (eV for the cell shown) = -182.08
data_Y6Se3SN2
_cell_length_a 6.569
_cell_length_b 11.367
_cell_length_c 6.908
_cell_angle_alpha 90.00
_cell_angle_beta 108.47
_cell_angle_gamma 90.00
_symmetry_space_group_name_H-M 'C 1 2/m 1'
_symmetry_Int_Tables_number 12
loop_
_symmetry_equiv_pos_as_xyz
'x,y,z'
'-x,-y,-z'
'-x,y,-z'
'x,-y,z'
'x+1/2,y+1/2,z'
'-x+1/2,-y+1/2,-z'
'-x+1/2,y+1/2,-z'
'x+1/2,-y+1/2,z'
loop_
_atom_site_label
_atom_site_type_symbol
_atom_site_fract_x
_atom_site_fract_y
_atom_site_fract_z
_atom_site_occupancy
Y1 Y 0.211 0.000 0.202 1
Y2 Y 0.247 0.322 0.206 1
Se1 Se 0.000 0.000 0.500 1
Se2 Se 0.000 0.339 0.500 1
S1 S 0.000 0.500 0.000 1
N1 N 0.000 0.167 0.000 1


13.
# LaSm3YSc | Alexandria via LeMat-Bulk | PBE | relaxed
# - V (Å³/atom) = 32.5
# - energy of formation from the pure elements (eV/atom) = 0.0490
# - E (eV for the cell shown) = -63.17
data_LaSm3YSc
_cell_length_a 7.963
_cell_length_b 5.095
_cell_length_c 10.155
_cell_angle_alpha 90.00
_cell_angle_beta 108.80
_cell_angle_gamma 90.00
_symmetry_space_group_name_H-M 'P 1 21/m 1'
_symmetry_Int_Tables_number 11
loop_
_symmetry_equiv_pos_as_xyz
'x,y,z'
'-x,-y,-z'
'-x,y+1/2,-z'
'x,-y+1/2,z'
loop_
_atom_site_label
_atom_site_type_symbol
_atom_site_fract_x
_atom_site_fract_y
_atom_site_fract_z
_atom_site_occupancy
La1 La 0.175 0.250 0.298 1
Sm1 Sm 0.170 0.250 0.789 1
Sm2 Sm 0.170 0.750 0.044 1
Sm3 Sm 0.177 0.750 0.543 1
Y1 Y 0.499 0.750 0.873 1
Sc1 Sc 0.500 0.250 0.624 1


14.
# SiSbP3 | Alexandria via LeMat-Bulk | PBE | relaxed
# - V (Å³/atom) = 18.9
# - relative energy among the computed polymorphs (eV per atom) = 0.000
# - E (eV for the cell shown) = -22.70
data_SiSbP3
_cell_length_a 4.559
_cell_length_b 4.559
_cell_length_c 4.559
_cell_angle_alpha 90.00
_cell_angle_beta 90.00
_cell_angle_gamma 90.00
_symmetry_space_group_name_H-M 'P m -3 m'
_symmetry_Int_Tables_number 221
_symmetry_space_group_name_Hall '-P 4 2 3'
loop_
_atom_site_label
_atom_site_type_symbol
_atom_site_fract_x
_atom_site_fract_y
_atom_site_fract_z
_atom_site_occupancy
Si1 Si 0.000 0.000 0.000 1
Sb1 Sb 0.500 0.500 0.500 1
P1 P 0.000 0.000 0.500 1


15.
# Te2AsF | Alexandria via LeMat-Bulk | PBE | relaxed
# - V (Å³/atom) = 26.3
# - relative energy among the computed polymorphs (eV per atom) = 0.176
# - E (eV for the cell shown) = -42.89
data_Te2AsF
_cell_length_a 3.8112
_cell_length_b 3.8112
_cell_length_c 25.0477
_cell_angle_alpha 90.00
_cell_angle_beta 90.00
_cell_angle_gamma 120.00
_symmetry_space_group_name_H-M 'R -3 m'
_symmetry_Int_Tables_number 166
_symmetry_space_group_name_Hall '-R 3 2"'
loop_
_atom_site_label
_atom_site_type_symbol
_atom_site_fract_x
_atom_site_fract_y
_atom_site_fract_z
_atom_site_occupancy
Te1 Te 0.0000 0.0000 0.0921 1
As1 As 0.0000 0.0000 0.5000 1
F1 F 0.0000 0.0000 0.0000 1


16.
# La3HfGa5O14 | Alexandria via LeMat-Bulk | PBE | relaxed
# - V (Å³/atom) = 13.7
# - E (eV for the cell shown) = -170.21
data_La3HfGa5O14
_cell_length_a 8.3651
_cell_length_b 8.3651
_cell_length_c 5.1970
_cell_angle_alpha 90.00
_cell_angle_beta 90.00
_cell_angle_gamma 120.00
_symmetry_space_group_name_H-M 'P 3 2 1'
_symmetry_Int_Tables_number 150
loop_
_symmetry_equiv_pos_as_xyz
'x,y,z'
'-y,x-y,z'
'-x+y,-x,z'
'y,x,-z'
'x-y,-y,-z'
'-x,-x+y,-z'
loop_
_atom_site_label
_atom_site_type_symbol
_atom_site_fract_x
_atom_site_fract_y
_atom_site_fract_z
_atom_site_occupancy
La1 La 0.0000 0.5747 0.0000 1
Hf1 Hf 0.0000 0.0000 0.0000 1
Ga1 Ga 0.0000 0.2471 0.5000 1
Ga2 Ga 0.3333 0.6667 0.5309 1
O1 O 0.0818 0.8542 0.2422 1
O2 O 0.1447 0.4600 0.6994 1
O3 O 0.3333 0.6667 0.1808 1


17.
# Pm2ThAl9 | Alexandria via LeMat-Bulk | PBE | relaxed
# - V (Å³/atom) = 20.3
# - energy of formation from the pure elements (eV/atom) = -0.3791
# - E (eV for the cell shown) = -165.46
data_Pm2ThAl9
_cell_length_a 5.6364
_cell_length_b 5.6364
_cell_length_c 26.6272
_cell_angle_alpha 90.00
_cell_angle_beta 90.00
_cell_angle_gamma 120.00
_symmetry_space_group_name_H-M 'R -3 m'
_symmetry_Int_Tables_number 166
_symmetry_space_group_name_Hall '-R 3 2"'
loop_
_atom_site_label
_atom_site_type_symbol
_atom_site_fract_x
_atom_site_fract_y
_atom_site_fract_z
_atom_site_occupancy
Pm1 Pm 0.0000 0.0000 0.1404 1
Th1 Th 0.0000 0.0000 0.0000 1
Al1 Al 0.0000 0.0000 0.3347 1
Al2 Al 0.0000 0.0000 0.5000 1
Al3 Al 0.0062 0.5031 0.9177 1


18.
# TiCuSb2N | Alexandria via LeMat-Bulk | PBE | relaxed
# - V (Å³/atom) = 17.6
# - E (eV for the cell shown) = -26.82
data_TiCuSb2N
_cell_length_a 4.897
_cell_length_b 4.897
_cell_length_c 3.675
_cell_angle_alpha 90.00
_cell_angle_beta 90.00
_cell_angle_gamma 90.00
_symmetry_space_group_name_H-M 'P 4/m m m'
_symmetry_Int_Tables_number 123
_symmetry_space_group_name_Hall '-P 4 2'
loop_
_atom_site_label
_atom_site_type_symbol
_atom_site_fract_x
_atom_site_fract_y
_atom_site_fract_z
_atom_site_occupancy
Ti1 Ti 0.000 0.000 0.000 1
Cu1 Cu 0.500 0.500 0.000 1
Sb1 Sb 0.000 0.500 0.500 1
N1 N 0.500 0.500 0.500 1


19.
# Zr4Ga3Pt | Alexandria via LeMat-Bulk | PBE | relaxed
# - V (Å³/atom) = 19.6
# - energy of formation from the pure elements (eV/atom) = -0.7061
# - E (eV for the cell shown) = -54.96
data_Zr4Ga3Pt
_cell_length_a 3.847
_cell_length_b 3.940
_cell_length_c 10.345
_cell_angle_alpha 90.00
_cell_angle_beta 90.00
_cell_angle_gamma 90.00
_symmetry_space_group_name_H-M 'P m m 2'
_symmetry_Int_Tables_number 25
loop_
_symmetry_equiv_pos_as_xyz
'x,y,z'
'-x,-y,z'
'-x,y,z'
'x,-y,z'
loop_
_atom_site_label
_atom_site_type_symbol
_atom_site_fract_x
_atom_site_fract_y
_atom_site_fract_z
_atom_site_occupancy
Zr1 Zr 0.000 0.000 0.000 1
Zr2 Zr 0.000 0.500 0.285 1
Zr3 Zr 0.500 0.000 0.503 1
Zr4 Zr 0.500 0.500 0.792 1
Ga1 Ga 0.000 0.000 0.727 1
Ga2 Ga 0.000 0.500 0.566 1
Ga3 Ga 0.500 0.500 0.062 1
Pt1 Pt 0.500 0.000 0.237 1


20.
# CaCdIn2 | Alexandria via LeMat-Bulk | PBE | relaxed
# - V (Å³/atom) = 25.8
# - energy of formation from the pure elements (eV/atom) = -0.2948
# - E (eV for the cell shown) = -9.57
data_CaCdIn2
_cell_length_a 4.666
_cell_length_b 4.713
_cell_length_c 4.692
_cell_angle_alpha 90.00
_cell_angle_beta 90.47
_cell_angle_gamma 90.00
_symmetry_space_group_name_H-M 'P 1 2/m 1'
_symmetry_Int_Tables_number 10
loop_
_symmetry_equiv_pos_as_xyz
'x,y,z'
'-x,-y,-z'
'-x,y,-z'
'x,-y,z'
loop_
_atom_site_label
_atom_site_type_symbol
_atom_site_fract_x
_atom_site_fract_y
_atom_site_fract_z
_atom_site_occupancy
Ca1 Ca 0.000 0.000 0.000 1
Cd1 Cd 0.500 0.500 0.000 1
In1 In 0.000 0.500 0.500 1
In2 In 0.500 0.000 0.500 1


no.,D(E_F) (states/eV per atom)
1,1.7086
2,0.8026
3,0.4069
4,0.2987
5,0.7044
6,1.1978
7,1.0518
8,1.0241
9,0.7113
10,2.5986
11,1.2203
12,0.3778
13,1.7384
14,0.6542
15,0.6153
16,0.0000
17,0.5700
18,0.4879
19,0.6157
20,0.5499